A plane-wave DFT calculation with PBE was carried out for crystalline LiCaMg2Tl4 at its relaxed geometry.

Unit cell a=9.0875 b=9.0875 c=9.0875 alpha=33.25 beta=33.25 gamma=33.25
Last column: nearest neighbours and their distance in Å.
Sites, in units of the cell vectors:
Li 0.0000 0.0000 0.0000  8 Tl 3.05-3.15
Ca 0.5000 0.5000 0.5000  8 Tl 3.25-3.32
Mg 0.2489 0.2489 0.2489  8 Tl 3.13-3.35
Mg 0.7511 0.7511 0.7511  8 Tl 3.13-3.35
Tl 0.1186 0.1186 0.1186  1 Li 3.05, 4 Mg 3.13-3.35, 3 Ca 3.25
Tl 0.3708 0.3708 0.3708  4 Mg 3.14-3.24, 3 Li 3.15, 1 Ca 3.32
Tl 0.6292 0.6292 0.6292  4 Mg 3.14-3.24, 3 Li 3.15, 1 Ca 3.32
Tl 0.8814 0.8814 0.8814  1 Li 3.05, 4 Mg 3.13-3.35, 3 Ca 3.25

Properties
SG	R-3m, No. 166

A plane-wave DFT calculation with PBE was carried out for crystalline Li2CaMgTl4 at its relaxed geometry.

Unit cell a=9.0603 b=9.0603 c=9.0603 alpha=33.09 beta=33.09 gamma=33.09
Last column: nearest neighbours and their distance in Å.
Sites, in units of the cell vectors:
Li 0.2503 0.2503 0.2503  8 Tl 3.13-3.32
Li 0.7497 0.7497 0.7497  8 Tl 3.13-3.32
Ca 0.5000 0.5000 0.5000  8 Tl 3.20-3.26
Mg 0.0000 0.0000 0.0000  8 Tl 3.10-3.15
Tl 0.1209 0.1209 0.1209  1 Mg 3.10, 4 Li 3.13-3.32, 3 Ca 3.20
Tl 0.3731 0.3731 0.3731  3 Mg 3.15, 4 Li 3.15-3.18, 1 Ca 3.26
Tl 0.6269 0.6269 0.6269  3 Mg 3.15, 4 Li 3.15-3.18, 1 Ca 3.26
Tl 0.8791 0.8791 0.8791  1 Mg 3.10, 4 Li 3.13-3.32, 3 Ca 3.20

Properties
SG	R-3m, No. 166

A plane-wave DFT calculation with PBE was carried out for crystalline Li2CaMgTl2 at its relaxed geometry.

Unit cell a=4.8968 b=4.8968 c=6.8355 alpha=90.00 beta=90.00 gamma=120.00
Last column: nearest neighbours and their distance in Å.
Sites, in units of the cell vectors:
Li 0.3333 0.6667 0.1965  4 Tl 2.84-2.96, 3 Mg 3.13
Li 0.6667 0.3333 0.8035  4 Tl 2.84-2.96, 3 Mg 3.13
Ca 0.0000 0.0000 0.5000  6 Tl 3.35, 2 Mg 3.42, 6 Li 3.51
Mg 0.0000 0.0000 0.0000  6 Li 3.13, 6 Tl 3.26, 2 Ca 3.42
Tl 0.3333 0.6667 0.7629  4 Li 2.84-2.96
Tl 0.6667 0.3333 0.2371  4 Li 2.84-2.96

Properties
SG	P-3m1, No. 164

A plane-wave DFT calculation with PBE was carried out for crystalline Li2Ca3Mg2Tl4 at its relaxed geometry.

Unit cell a=5.1428 b=5.1428 c=13.0793 alpha=90.00 beta=90.00 gamma=120.00
Last column: nearest neighbours and their distance in Å.
Sites, in units of the cell vectors:
Li 0.3333 0.6667 0.1320  4 Tl 2.97-2.98
Li 0.6667 0.3333 0.8680  4 Tl 2.97-2.98
Ca 0.0000 0.0000 0.0000  6 Li 3.43, 6 Tl 3.48, 2 Ca 3.58
Ca 0.0000 0.0000 0.2735  6 Tl 3.18-3.45, 3 Li 3.50, 3 Mg 3.51
Ca 0.0000 0.0000 0.7265  6 Tl 3.18-3.45, 3 Li 3.50, 3 Mg 3.51
Mg 0.3333 0.6667 0.5834  4 Tl 2.93-3.06
Mg 0.6667 0.3333 0.4166  4 Tl 2.93-3.06
Tl 0.3333 0.6667 0.3596  4 Mg 2.93-3.06, 1 Li 2.98, 3 Ca 3.18
Tl 0.3333 0.6667 0.8605  3 Li 2.97
Tl 0.6667 0.3333 0.1395  3 Li 2.97
Tl 0.6667 0.3333 0.6404  4 Mg 2.93-3.06, 1 Li 2.98, 3 Ca 3.18

Properties
SG	P-3m1, No. 164

A plane-wave DFT calculation with PBE was carried out for crystalline LiCaTmMg at its relaxed geometry.

Unit cell a=5.4178 b=5.4178 c=5.4178 alpha=60.00 beta=60.00 gamma=60.00
Last column: nearest neighbours and their distance in Å.
Sites, in units of the cell vectors:
Li 0.0000 0.0000 0.0000  4 Ca 3.32, 4 Tm 3.32
Ca 0.7500 0.7500 0.7500  4 Li 3.32, 4 Mg 3.32
Tm 0.2500 0.2500 0.2500  4 Mg 3.32, 4 Li 3.32
Mg 0.5000 0.5000 0.5000  4 Ca 3.32, 4 Tm 3.32

Properties
SG	F-43m, No. 216

A plane-wave DFT calculation with PBE was carried out for crystalline Li2Ca2TmMg5 at its relaxed geometry.

Unit cell a=10.9910 b=10.9910 c=4.3203 alpha=90.00 beta=90.00 gamma=90.00
Last column: nearest neighbours and their distance in Å.
Sites, in units of the cell vectors:
Li 0.1163 0.3837 0.0000  6 Mg 2.82-2.94, 1 Ca 3.15
Li 0.3837 0.8837 0.0000  6 Mg 2.82-2.94, 1 Ca 3.15
Li 0.6163 0.1163 0.0000  6 Mg 2.82-2.94, 1 Ca 3.15
Li 0.8837 0.6163 0.0000  6 Mg 2.82-2.94, 1 Ca 3.15
Ca 0.1812 0.6812 0.0000  3 Li 3.15-3.35
Ca 0.3188 0.1812 0.0000  3 Li 3.15-3.35
Ca 0.6812 0.8188 0.0000  3 Li 3.15-3.35
Ca 0.8188 0.3188 0.0000  3 Li 3.15-3.35
Tm 0.0000 0.0000 0.0000  8 Mg 3.24
Tm 0.5000 0.5000 0.0000  8 Mg 3.24
Mg 0.0000 0.5000 0.5000  4 Li 2.82
Mg 0.0592 0.2121 0.5000  2 Li 2.94, 1 Mg 3.23, 2 Tm 3.24
Mg 0.2121 0.9408 0.5000  2 Li 2.94, 1 Mg 3.23, 2 Tm 3.24
Mg 0.2879 0.4408 0.5000  2 Li 2.94, 1 Mg 3.23, 2 Tm 3.24
Mg 0.4408 0.7121 0.5000  2 Li 2.94, 1 Mg 3.23, 2 Tm 3.24
Mg 0.5000 0.0000 0.5000  4 Li 2.82
Mg 0.5592 0.2879 0.5000  2 Li 2.94, 1 Mg 3.23, 2 Tm 3.24
Mg 0.7121 0.5592 0.5000  2 Li 2.94, 1 Mg 3.23, 2 Tm 3.24
Mg 0.7879 0.0592 0.5000  2 Li 2.94, 1 Mg 3.23, 2 Tm 3.24
Mg 0.9408 0.7879 0.5000  2 Li 2.94, 1 Mg 3.23, 2 Tm 3.24

Properties
SG	P4/mbm, No. 127

Number 1: energy relative to the elements -1.7 eV/f.u.. Number 2: energy relative to the elements -1.7 eV/f.u.. Number 3: energy relative to the elements -1.5 eV/f.u.. Number 4: energy relative to the elements -2.3 eV/f.u.. Number 5: energy relative to the elements 0.3 eV/f.u.. Number 6: energy relative to the elements -0.4 eV/f.u..